{
  "formula": "SmPH2Ru",
  "functional": "PBE",
  "state": "relaxed",
  "lattice_angstrom": [[-0.4192, 0.9002, -3.7504], [-1.9513, -5.0243, 1.0188], [-5.4063, 2.3359, 1.1649]],
  "species": ["Sm", "Sm", "Ru", "Ru", "P", "P", "H", "H", "H", "H"],
  "frac_coords": [[0.2865, 0.5731, 0.2500], [0.7135, 0.4269, 0.7500], [0.0000, 0.0000, 0.0000], [0.0000, 0.0000, 0.5000], [0.4333, 0.8666, 0.7500], [0.5667, 0.1334, 0.2500], [0.1643, 0.3287, 0.5626], [0.1643, 0.3287, 0.9374], [0.8357, 0.6713, 0.4374], [0.8357, 0.6713, 0.0626]],
  "dos_ef_per_ev_atom": 0.243,
  "crystal_system": "orthorhombic",
  "spacegroup": "Cmcm",
  "dft_energy_ev_per_atom": -5.90
}